(1)
Density functional theory data (PBE-GGA) for a relaxed Ni2RhCl crystal.

a = 6.0514 Å, b = 6.0514 Å, c = 6.0514 Å
α = 90.00°, β = 90.00°, γ = 90.00°
With the nearest neighbours (Å) after each atom.
Sites, in units of the cell vectors:
Ni  0.2500  0.2500  0.2500  4 Cl 2.62, 4 Rh 2.62
Ni  0.2500  0.2500  0.7500  4 Cl 2.62, 4 Rh 2.62
Ni  0.2500  0.7500  0.2500  4 Cl 2.62, 4 Rh 2.62
Ni  0.2500  0.7500  0.7500  4 Cl 2.62, 4 Rh 2.62
Ni  0.7500  0.2500  0.2500  4 Cl 2.62, 4 Rh 2.62
Ni  0.7500  0.2500  0.7500  4 Cl 2.62, 4 Rh 2.62
Ni  0.7500  0.7500  0.2500  4 Cl 2.62, 4 Rh 2.62
Ni  0.7500  0.7500  0.7500  4 Cl 2.62, 4 Rh 2.62
Rh  0.0000  0.0000  0.0000  8 Ni 2.62
Rh  0.0000  0.5000  0.5000  8 Ni 2.62
Rh  0.5000  0.0000  0.5000  8 Ni 2.62
Rh  0.5000  0.5000  0.0000  8 Ni 2.62
Cl  0.0000  0.0000  0.5000  8 Ni 2.62
Cl  0.0000  0.5000  0.0000  8 Ni 2.62
Cl  0.5000  0.0000  0.0000  8 Ni 2.62
Cl  0.5000  0.5000  0.5000  8 Ni 2.62

Output
- E above lowest polymorph (meV/atom) = 462
- raw formation energy (eV per atom) = 0.66
- calculated volume (Å³ per atom) = 13.85

(2)
Density functional theory data (PBE-GGA) for a relaxed TaPt2 crystal.

a = 7.7417 Å, b = 7.7417 Å, c = 2.8403 Å
α = 90.00°, β = 90.00°, γ = 120.00°
With the nearest neighbours (Å) after each atom.
Sites, in units of the cell vectors:
Ta  0.0000  0.0000  0.0000  9 Pt 2.75-2.79, 2 Ta 2.84
Ta  0.3333  0.6667  0.5000  9 Pt 2.70-2.86, 2 Ta 2.84
Ta  0.6667  0.3333  0.5000  9 Pt 2.70-2.86, 2 Ta 2.84
Pt  0.0000  0.3044  0.5000  4 Ta 2.70-2.75, 8 Pt 2.84-2.96
Pt  0.0000  0.6401  0.0000  5 Ta 2.79-2.86, 8 Pt 2.84-2.96
Pt  0.3044  0.0000  0.5000  4 Ta 2.70-2.75, 8 Pt 2.84-2.96
Pt  0.3599  0.3599  0.0000  5 Ta 2.79-2.86, 8 Pt 2.84-2.96
Pt  0.6401  0.0000  0.0000  5 Ta 2.79-2.86, 8 Pt 2.84-2.96
Pt  0.6956  0.6956  0.5000  4 Ta 2.70-2.75, 8 Pt 2.84-2.96

Output
- electronic total energy (eV/atom) = -8.609
- calculated volume (Å³ per atom) = 16.38

(3)
Density functional theory data (PBE-GGA) for a relaxed BeReIr crystal.

a = 2.7815 Å, b = 4.6072 Å, c = 12.3819 Å
α = 90.00°, β = 90.00°, γ = 90.00°
With the nearest neighbours (Å) after each atom.
Sites, in units of the cell vectors:
Be  0.0000  0.0000  0.0000  2 Ir 2.33, 2 Re 2.44
Be  0.0000  0.5000  0.5000  2 Ir 2.33, 2 Re 2.44
Be  0.5000  0.0000  0.5000  2 Ir 2.33, 2 Re 2.44
Be  0.5000  0.5000  0.0000  2 Ir 2.33, 2 Re 2.44
Re  0.0000  0.0000  0.3385  2 Be 2.44, 4 Re 2.69, 2 Ir 2.71
Re  0.0000  0.5000  0.8385  2 Be 2.44, 4 Re 2.69, 2 Ir 2.71
Re  0.5000  0.0000  0.8385  2 Be 2.44, 4 Re 2.69, 2 Ir 2.71
Re  0.5000  0.5000  0.3385  2 Be 2.44, 4 Re 2.69, 2 Ir 2.71
Ir  0.0000  0.0000  0.6506  2 Be 2.33
Ir  0.0000  0.5000  0.1506  2 Be 2.33
Ir  0.5000  0.0000  0.1506  2 Be 2.33
Ir  0.5000  0.5000  0.6506  2 Be 2.33

Output
- E above lowest polymorph (meV/atom) = 442
- calculated volume (Å³ per atom) = 13.22

(4)
Density functional theory data (PBE-GGA) for a relaxed BaVTc2Bi crystal.

a = 5.0010 Å, b = 5.0010 Å, c = 6.2358 Å
α = 90.00°, β = 90.00°, γ = 90.00°
With the nearest neighbours (Å) after each atom.
Sites, in units of the cell vectors:
Ba  0.0000  0.0000  0.0000  4 Tc 2.50
V  0.5000  0.5000  0.5000  4 Bi 3.54
Tc  0.0000  0.5000  0.0000  2 Ba 2.50
Tc  0.5000  0.0000  0.0000  2 Ba 2.50
Bi  0.0000  0.0000  0.5000  2 Ba 3.12

Output
- electronic total energy (eV/atom) = -4.226
- calculated volume (Å³ per atom) = 31.19

(5)
Density functional theory data (PBE-GGA) for a relaxed NdCo5P3 crystal.

a = 11.8351 Å, b = 3.6908 Å, c = 10.4042 Å
α = 90.00°, β = 90.00°, γ = 90.00°
With the nearest neighbours (Å) after each atom.
Sites, in units of the cell vectors:
Nd  0.2017  0.2500  0.0834  6 P 2.85-2.92, 10 Co 2.93-3.18
Nd  0.2983  0.7500  0.5834  6 P 2.85-2.92, 10 Co 2.93-3.18
Nd  0.7017  0.2500  0.4166  6 P 2.85-2.92, 10 Co 2.93-3.18
Nd  0.7983  0.7500  0.9166  6 P 2.85-2.92, 10 Co 2.93-3.18
Co  0.0095  0.7500  0.7135  1 P 2.21
Co  0.0101  0.7500  0.0947  4 P 2.31-2.38, 1 Co 2.56
Co  0.0672  0.7500  0.4688  4 P 2.14-2.25
Co  0.1754  0.2500  0.7790  4 P 2.19-2.34
Co  0.1972  0.2500  0.3825  4 P 2.30-2.32, 2 Co 2.56
Co  0.3028  0.7500  0.8825  4 P 2.30-2.32, 2 Co 2.56
Co  0.3246  0.7500  0.2790  4 P 2.19-2.34
Co  0.4328  0.2500  0.9688  4 P 2.14-2.25
Co  0.4899  0.2500  0.5947  4 P 2.31-2.38, 1 Co 2.56
Co  0.4905  0.2500  0.2135  1 P 2.21
Co  0.5095  0.7500  0.7865  1 P 2.21
Co  0.5101  0.7500  0.4053  4 P 2.31-2.38, 1 Co 2.56
Co  0.5672  0.7500  0.0312  4 P 2.14-2.25
Co  0.6754  0.2500  0.7210  4 P 2.19-2.34
Co  0.6972  0.2500  0.1175  4 P 2.30-2.32, 2 Co 2.56
Co  0.8028  0.7500  0.6175  4 P 2.30-2.32, 2 Co 2.56
Co  0.8246  0.7500  0.2210  4 P 2.19-2.34
Co  0.9328  0.2500  0.5312  4 P 2.14-2.25
Co  0.9899  0.2500  0.9053  4 P 2.31-2.38, 1 Co 2.56
Co  0.9905  0.2500  0.2865  1 P 2.21
P  0.1072  0.7500  0.8944  7 Co 2.21-2.38
P  0.1102  0.2500  0.5818  5 Co 2.16-2.31
P  0.1302  0.7500  0.2755  5 Co 2.14-2.36
P  0.3698  0.2500  0.7755  5 Co 2.14-2.36
P  0.3898  0.7500  0.0818  5 Co 2.16-2.31
P  0.3928  0.2500  0.3944  7 Co 2.21-2.38
P  0.6072  0.7500  0.6056  7 Co 2.21-2.38
P  0.6102  0.2500  0.9182  5 Co 2.16-2.31
P  0.6302  0.7500  0.2245  5 Co 2.14-2.36
P  0.8698  0.2500  0.7245  5 Co 2.14-2.36
P  0.8898  0.7500  0.4182  5 Co 2.16-2.31
P  0.8928  0.2500  0.1056  7 Co 2.21-2.38

Output
- E above lowest polymorph (meV/atom) = 5
- calculated volume (Å³ per atom) = 12.62

The highest calculated volume belongs to which entry?
BaVTc2Bi

Please write out number 2 again, unchanged.
Density functional theory data (PBE-GGA) for a relaxed TaPt2 crystal.

a = 7.7417 Å, b = 7.7417 Å, c = 2.8403 Å
α = 90.00°, β = 90.00°, γ = 120.00°
With the nearest neighbours (Å) after each atom.
Sites, in units of the cell vectors:
Ta  0.0000  0.0000  0.0000  9 Pt 2.75-2.79, 2 Ta 2.84
Ta  0.3333  0.6667  0.5000  9 Pt 2.70-2.86, 2 Ta 2.84
Ta  0.6667  0.3333  0.5000  9 Pt 2.70-2.86, 2 Ta 2.84
Pt  0.0000  0.3044  0.5000  4 Ta 2.70-2.75, 8 Pt 2.84-2.96
Pt  0.0000  0.6401  0.0000  5 Ta 2.79-2.86, 8 Pt 2.84-2.96
Pt  0.3044  0.0000  0.5000  4 Ta 2.70-2.75, 8 Pt 2.84-2.96
Pt  0.3599  0.3599  0.0000  5 Ta 2.79-2.86, 8 Pt 2.84-2.96
Pt  0.6401  0.0000  0.0000  5 Ta 2.79-2.86, 8 Pt 2.84-2.96
Pt  0.6956  0.6956  0.5000  4 Ta 2.70-2.75, 8 Pt 2.84-2.96

Output
- electronic total energy (eV/atom) = -8.609
- calculated volume (Å³ per atom) = 16.38

Which value of calculated volume does entry 3 give?
13.22 Å³ per atom